A plane-wave DFT calculation with PBE was carried out for a relaxed structure of LiCa6Pt5.

Geometry as extended XYZ:
```
12
Lattice="-0.4427 -4.9178 0.3305 6.0005 -0.7927 -3.7561 3.7615 -2.3908 6.5138" Properties=species:S:1:pos:R:3 pbc="T T T"
Ca 2.4717 -5.0975 1.5620
Li 0.0000 0.0000 0.0000
Pt 5.2162 -5.2687 2.6902
Pt 3.0003 -0.3963 -1.8781
Ca 5.3965 -5.4838 -0.2688
Ca 3.9229 -2.6175 3.3569
Ca 1.3758 -2.6699 -0.8345
Pt 2.3033 -4.8709 4.7075
Ca 6.8476 -3.0038 1.5261
Pt 1.0155 -2.4378 2.1367
Ca 4.1820 -3.0406 -2.5911
Pt 4.1031 -2.8326 0.3980
```

Computed properties:
DFT formation energy: -0.7845 eV per atom
D(E_F): 2.48 states/eV/cell
symmetry: Cmmm, No. 65